# 1
A relaxed structure of TiSn3Pd. Source: Alexandria, functional PBE. Values from VASP.

Structure (Quantum ESPRESSO input):
```
&SYSTEM
  ibrav = 0, nat = 5, ntyp = 3
/
ATOMIC_SPECIES
Ti 47.87 Ti.upf
Sn 118.71 Sn.upf
Pd 106.42 Pd.upf
ATOMIC_POSITIONS angstrom
Ti 0.000 0.000 0.000
Sn 0.000 0.000 2.608
Sn 0.000 2.608 0.000
Sn 2.608 0.000 0.000
Pd 2.608 2.608 2.608
CELL_PARAMETERS angstrom
5.215 0.000 0.000
0.000 5.215 0.000
0.000 0.000 5.215
```

formation enthalpy at 0 K	458	meV/atom
E	-22.81	eV/cell
magnetization	0.0	μB/f.u.

=====

# 2
A relaxed structure of Ti2SnPd2. Source: Alexandria, functional PBE. Values from VASP.

Structure (Quantum ESPRESSO input):
```
&SYSTEM
  ibrav = 0, nat = 5, ntyp = 3
/
ATOMIC_SPECIES
Ti 47.87 Ti.upf
Sn 118.71 Sn.upf
Pd 106.42 Pd.upf
ATOMIC_POSITIONS angstrom
Ti 2.103 0.000 2.725
Ti 0.000 2.103 2.725
Sn 0.000 0.000 0.000
Pd 0.000 0.000 4.173
Pd 0.000 0.000 6.726
CELL_PARAMETERS angstrom
-2.103 2.103 5.450
2.103 -2.103 5.450
2.103 2.103 -5.450
```

formation enthalpy at 0 K	-251	meV/atom
E	-31.43	eV/cell
magnetization	0.6	μB/f.u.

=====

# 3
A relaxed structure of Ti5SnPd8. Source: Alexandria, functional PBE. Values from VASP.

Structure (Quantum ESPRESSO input):
```
&SYSTEM
  ibrav = 0, nat = 14, ntyp = 3
/
ATOMIC_SPECIES
Ti 47.87 Ti.upf
Sn 118.71 Sn.upf
Pd 106.42 Pd.upf
ATOMIC_POSITIONS angstrom
Ti 0.000 0.000 0.000
Ti 2.815 2.212 -0.713
Ti 1.678 -1.075 4.605
Ti 1.075 1.678 3.179
Ti 2.212 4.965 0.713
Sn 3.890 0.000 1.946
Pd 1.224 -0.778 2.067
Pd 2.666 4.668 -1.826
Pd 0.537 2.596 0.732
Pd 3.112 2.666 1.826
Pd -0.537 5.184 0.732
Pd -1.294 3.353 3.161
Pd 0.778 1.224 5.718
Pd 1.294 4.427 3.161
CELL_PARAMETERS angstrom
-3.890 3.890 3.892
3.890 -3.890 3.892
3.890 3.890 -3.892
```

formation enthalpy at 0 K	-416	meV/atom
E	-90.84	eV/cell
magnetization	0.0	μB/f.u.

=====

# 4
A relaxed structure of TiSnPd5. Source: Alexandria, functional PBE. Values from VASP.

Structure (Quantum ESPRESSO input):
```
&SYSTEM
  ibrav = 0, nat = 14, ntyp = 3
/
ATOMIC_SPECIES
Ti 47.87 Ti.upf
Sn 118.71 Sn.upf
Pd 106.42 Pd.upf
ATOMIC_POSITIONS angstrom
Ti 4.239 2.173 7.041
Ti 4.420 -2.173 2.347
Sn 4.510 0.000 0.000
Sn 4.329 0.000 4.694
Pd 1.122 0.401 4.894
Pd 2.220 0.860 7.487
Pd 1.303 -0.401 0.200
Pd 4.420 1.016 2.347
Pd 2.400 -0.860 2.793
Pd 6.258 0.860 6.594
Pd 4.239 -1.016 7.041
Pd 7.356 0.401 9.188
Pd 6.439 -0.860 1.900
Pd 7.537 -0.401 4.494
CELL_PARAMETERS angstrom
4.510 -2.822 0.000
4.510 2.822 0.000
-0.361 0.000 9.388
```

formation enthalpy at 0 K	-352	meV/atom
E	-80.65	eV/cell
magnetization	0.0	μB/f.u.

=====

Copy entry 4 word for word.
A relaxed structure of TiSnPd5. Source: Alexandria, functional PBE. Values from VASP.

Structure (Quantum ESPRESSO input):
```
&SYSTEM
  ibrav = 0, nat = 14, ntyp = 3
/
ATOMIC_SPECIES
Ti 47.87 Ti.upf
Sn 118.71 Sn.upf
Pd 106.42 Pd.upf
ATOMIC_POSITIONS angstrom
Ti 4.239 2.173 7.041
Ti 4.420 -2.173 2.347
Sn 4.510 0.000 0.000
Sn 4.329 0.000 4.694
Pd 1.122 0.401 4.894
Pd 2.220 0.860 7.487
Pd 1.303 -0.401 0.200
Pd 4.420 1.016 2.347
Pd 2.400 -0.860 2.793
Pd 6.258 0.860 6.594
Pd 4.239 -1.016 7.041
Pd 7.356 0.401 9.188
Pd 6.439 -0.860 1.900
Pd 7.537 -0.401 4.494
CELL_PARAMETERS angstrom
4.510 -2.822 0.000
4.510 2.822 0.000
-0.361 0.000 9.388
```

formation enthalpy at 0 K	-352	meV/atom
E	-80.65	eV/cell
magnetization	0.0	μB/f.u.

=====

Which value of magnetization does entry 4 give?
0.0 μB/f.u.